{
  "formula": "NbIn2PbN",
  "functional": "meta-GGA SCAN",
  "state": "single point on PBEsol structure",
  "sg": "No. 123",
  "total_magnetization_mub_per_cell": 0.8,
  "formation_energy_uncorrected_mev_per_atom": 791.6,
  "cell": [[4.411, 0.000, 0.000], [0.000, 4.411, 0.000], [0.000, 0.000, 5.055]],
  "species": ["Nb", "In", "In", "Pb", "N"],
  "fractional_positions": [[0.000, 0.000, 0.000], [0.000, 0.500, 0.500], [0.500, 0.000, 0.500], [0.500, 0.500, 0.000], [0.500, 0.500, 0.500]]
}